# LiTa2Se

A geometry-optimized LiTa2Se structure (GGA-PBE, the Alexandria database).

Cell and atoms, written as POSCAR:
```
LiTa2Se
1.0
5.642 0.009 -0.008
-2.631 4.991 -0.008
1.024 1.700 2.514
Li Se Ta
1 1 2
Cartesian
3.333 0.854 1.253 Li
-0.803 3.346 1.253 Se
0.000 0.000 0.000 Ta
1.506 2.500 -0.008 Ta
```

Properties
DOS(E_F) = 1.98 states/eV/cell
Size of the total moment = 0.00 Bohr magnetons per cell
Energy relative to the elements, uncorrected = 221 meV per atom
Electronic total energy = -7.055 eV/atom
ρ = 10.47 g/cm³

---

# CePu2Ti

A geometry-optimized CePu2Ti structure (GGA-PBE, the Alexandria database).

Cell and atoms, written as POSCAR:
```
CePu2Ti
1.0
-3.554 -2.266 -2.857
1.155 -4.192 -2.650
-1.905 -4.507 1.407
Ti Ce Pu
1 1 2
Cartesian
-2.152 -5.482 -2.050 Ti
0.000 0.000 0.000 Ce
-1.076 -2.741 -1.025 Pu
-3.228 -8.224 -3.075 Pu
```

Properties
DOS(E_F) = 14.91 states/eV/cell
Size of the total moment = 12.27 Bohr magnetons per cell
Electronic total energy = -10.387 eV/atom
ΔE_f = 0.236 eV per atom
ρ = 12.02 g/cm³

---

# Sr2ZnPtAu

A geometry-optimized Sr2ZnPtAu structure (GGA-PBE, the Alexandria database).

Cell and atoms, written as POSCAR:
```
Sr2ZnPtAu
1.0
-1.081 2.656 -4.999
-5.585 -1.329 0.502
-0.771 4.131 2.361
Sr Zn Au Pt
2 1 1 1
Cartesian
-2.792 -0.664 0.251 Sr
-0.540 1.328 -2.499 Sr
-0.385 2.065 1.181 Zn
-3.718 2.729 -1.068 Au
0.000 0.000 0.000 Pt
```

Properties
DOS(E_F) = 3.51 states/eV/cell
Size of the total moment = 0.00 Bohr magnetons per cell
Electronic total energy = -3.267 eV/atom
ΔE_f = -0.476 eV per atom
ρ = 6.56 g/cm³

---

# CaTa3

A geometry-optimized CaTa3 structure (GGA-PBE, the Alexandria database).

Cell and atoms, written as POSCAR:
```
CaTa3
1.0
-1.271 -1.443 5.104
-3.936 -3.261 -1.902
3.555 -4.127 -0.281
Ca Ta
2 6
Cartesian
0.000 0.000 0.000 Ca
-0.826 -4.415 1.460 Ca
-2.921 -2.713 2.877 Ta
-2.286 -1.991 0.325 Ta
-1.175 -4.509 -1.567 Ta
0.793 -2.879 -0.616 Ta
0.253 -1.753 2.482 Ta
2.031 -3.816 2.341 Ta
```

Properties
DOS(E_F) = 12.59 states/eV/cell
Size of the total moment = 0.00 Bohr magnetons per cell
Electronic total energy = -8.529 eV/atom
ΔE_f = 0.861 eV per atom
ρ = 11.93 g/cm³

---

# Cu2SnAu2

A geometry-optimized Cu2SnAu2 structure (GGA-PBE, the Alexandria database).

Cell and atoms, written as POSCAR:
```
Cu2SnAu2
1.0
-1.200 -7.179 -1.864
7.387 -0.988 -0.949
0.271 -0.813 2.956
Au Sn Cu
4 2 4
Cartesian
5.938 -3.456 -1.495 Au
3.673 -6.823 -2.213 Au
0.250 -4.711 -1.318 Au
2.514 -1.344 -0.600 Au
0.000 0.000 0.000 Sn
3.094 -4.083 -1.406 Sn
4.815 -2.201 0.556 Cu
5.555 -5.970 -0.549 Cu
1.644 -6.778 -0.412 Cu
0.903 -3.010 0.692 Cu
```

Properties
DOS(E_F) = 3.08 states/eV/cell
Size of the total moment = 0.00 Bohr magnetons per cell
Electronic total energy = -3.766 eV/atom
ΔE_f = -0.016 eV per atom
ρ = 12.23 g/cm³

---

# Ba2SmPbSe5

A geometry-optimized Ba2SmPbSe5 structure (GGA-PBE, the Alexandria database).

Cell and atoms, written as POSCAR:
```
Ba2SmPbSe5
1.0
4.454 0.000 0.000
-2.227 9.427 0.000
0.000 0.000 13.618
Ba Sm Pb Se
4 2 2 10
Cartesian
2.227 6.795 11.017 Ba
0.000 2.148 9.327 Ba
0.000 2.632 4.208 Ba
2.227 7.279 2.518 Ba
2.227 5.441 7.021 Sm
0.000 3.986 0.212 Sm
2.227 0.627 12.978 Pb
0.000 8.800 6.169 Pb
0.000 6.844 13.602 Se
2.227 3.427 11.872 Se
0.000 9.223 10.327 Se
0.000 5.384 8.933 Se
2.227 8.408 7.853 Se
2.227 2.584 6.793 Se
0.000 6.000 5.063 Se
2.227 0.204 3.517 Se
2.227 4.043 2.124 Se
0.000 1.019 1.044 Se
```

Properties
DOS(E_F) = 5.58 states/eV/cell
Size of the total moment = 0.00 Bohr magnetons per cell
Energy relative to the elements, uncorrected = -1523 meV per atom
Electronic total energy = -4.822 eV/atom
ρ = 5.96 g/cm³

---

# Ti2VPdRh

A geometry-optimized Ti2VPdRh structure (GGA-PBE, the Alexandria database).

Cell and atoms, written as POSCAR:
```
Ti2VPdRh
1.0
4.516 0.000 0.000
0.000 4.934 0.000
0.000 0.000 4.516
Ti Rh Pd V
2 1 1 1
Cartesian
0.000 0.000 2.258 Ti
2.258 0.000 0.000 Ti
0.000 0.000 0.000 Rh
0.000 2.467 0.000 Pd
2.258 2.467 2.258 V
```

Properties
DOS(E_F) = 9.12 states/eV/cell
Size of the total moment = 0.31 Bohr magnetons per cell
Electronic total energy = -6.671 eV/atom
ΔE_f = 0.819 eV per atom
ρ = 5.88 g/cm³

---

# EuLuZnHg

A geometry-optimized EuLuZnHg structure (GGA-PBE, the Alexandria database).

Cell and atoms, written as POSCAR:
```
EuLuZnHg
1.0
5.225 0.000 0.000
2.613 4.525 0.000
2.613 1.508 4.266
Eu Zn Lu Hg
1 1 1 1
Cartesian
7.838 4.525 3.200 Eu
0.000 0.000 0.000 Zn
2.613 1.508 1.067 Lu
5.225 3.017 2.133 Hg
```

Properties
DOS(E_F) = 6.56 states/eV/cell
Size of the total moment = 6.99 Bohr magnetons per cell
Electronic total energy = -4.447 eV/atom
ΔE_f = -0.354 eV per atom
ρ = 9.76 g/cm³

---

# Er6SiTc2

A geometry-optimized Er6SiTc2 structure (GGA-PBE, the Alexandria database).

Cell and atoms, written as POSCAR:
```
Er6SiTc2
1.0
-2.509 -0.041 7.927
-6.425 -0.665 -5.236
4.871 -6.494 -1.802
Er Si Tc
12 2 4
Cartesian
-2.075 -5.836 -0.937 Er
-1.989 -1.364 1.827 Er
2.034 -5.511 -2.175 Er
-6.098 -1.689 3.065 Er
-4.139 -4.116 1.449 Er
0.075 -3.084 -0.560 Er
-0.699 -6.649 -4.065 Er
-3.365 -0.550 4.955 Er
-0.763 -4.579 2.413 Er
-3.300 -2.621 -1.523 Er
-3.812 -4.977 -3.840 Er
-0.252 -2.222 4.730 Er
-0.777 -3.580 -3.519 Si
0.000 0.000 0.000 Si
0.586 -6.006 0.371 Tc
-4.650 -1.194 0.519 Tc
1.607 -4.447 4.169 Tc
0.754 -2.087 1.956 Tc
```

Properties
DOS(E_F) = 16.22 states/eV/cell
Size of the total moment = 0.00 Bohr magnetons per cell
Energy relative to the elements, uncorrected = -231 meV per atom
Electronic total energy = -6.179 eV/atom
ρ = 9.26 g/cm³

---

# Sm4DyTl5

A geometry-optimized Sm4DyTl5 structure (GGA-PBE, the Alexandria database).

Cell and atoms, written as POSCAR:
```
Sm4DyTl5
1.0
3.813 0.000 0.000
0.000 3.813 0.000
0.000 0.000 19.607
Sm Dy Tl
4 1 5
Cartesian
0.000 0.000 3.859 Sm
0.000 0.000 7.823 Sm
0.000 0.000 11.783 Sm
0.000 0.000 15.748 Sm
0.000 0.000 0.000 Dy
1.907 1.907 1.871 Tl
1.907 1.907 5.838 Tl
1.907 1.907 9.803 Tl
1.907 1.907 13.768 Tl
1.907 1.907 17.736 Tl
```

Properties
DOS(E_F) = 8.45 states/eV/cell
Size of the total moment = 0.00 Bohr magnetons per cell
Electronic total energy = -3.903 eV/atom
ΔE_f = -0.372 eV per atom
ρ = 10.40 g/cm³

---

# Ba2NaCdNi

A geometry-optimized Ba2NaCdNi structure (GGA-PBE, the Alexandria database).

Cell and atoms, written as POSCAR:
```
Ba2NaCdNi
1.0
-4.452 0.261 3.981
-1.360 -5.708 -1.146
3.383 -1.586 3.887
Ni Na Ba Cd
1 1 2 1
Cartesian
0.000 0.000 0.000 Ni
1.691 -0.793 1.943 Na
-0.680 -2.854 -0.573 Ba
-2.226 0.131 1.991 Ba
-1.215 -3.516 3.361 Cd
```

Properties
DOS(E_F) = 3.49 states/eV/cell
Size of the total moment = 0.00 Bohr magnetons per cell
Electronic total energy = -2.309 eV/atom
ΔE_f = 0.064 eV per atom
ρ = 4.04 g/cm³

---

# PmNdHo2Se6

A geometry-optimized PmNdHo2Se6 structure (GGA-PBE, the Alexandria database).

Cell and atoms, written as POSCAR:
```
PmNdHo2Se6
1.0
-1.282 -6.123 3.806
5.014 -5.334 0.154
3.956 -1.118 6.580
Pm Nd Ho Se
1 1 2 6
Cartesian
5.246 -9.948 6.896 Pm
1.411 -3.652 1.645 Nd
3.738 -6.393 5.065 Ho
3.845 -1.229 6.364 Ho
1.316 -5.341 4.044 Se
5.177 -6.461 2.628 Se
2.972 -9.117 5.130 Se
6.093 -7.174 6.543 Se
2.639 -5.963 7.701 Se
4.798 -3.733 5.443 Se
```

Properties
DOS(E_F) = 0.00 states/eV/cell
Size of the total moment = 0.00 Bohr magnetons per cell
Energy relative to the elements, uncorrected = -1845 meV per atom
Electronic total energy = -5.803 eV/atom
ρ = 6.01 g/cm³

---

# Na2TlAsF6

A geometry-optimized Na2TlAsF6 structure (GGA-PBE, the Alexandria database).

Cell and atoms, written as POSCAR:
```
Na2TlAsF6
1.0
6.095 0.227 -0.044
3.244 5.398 -0.069
3.076 1.830 5.227
Na Tl As F
2 1 1 6
Cartesian
6.252 3.700 2.019 Na
3.178 1.885 5.045 Na
9.374 5.641 3.056 Tl
3.160 1.900 0.126 As
5.051 2.088 0.936 F
5.001 5.394 1.287 F
8.326 3.743 0.990 F
6.682 5.071 4.134 F
7.229 2.581 4.019 F
4.707 3.393 4.074 F
```

Properties
DOS(E_F) = 0.00 states/eV/cell
Size of the total moment = 0.00 Bohr magnetons per cell
Energy relative to the elements, uncorrected = -2303 meV per atom
Electronic total energy = -4.391 eV/atom
ρ = 4.31 g/cm³

---

# CsTa2InBi

A geometry-optimized CsTa2InBi structure (GGA-PBE, the Alexandria database).

Cell and atoms, written as POSCAR:
```
CsTa2InBi
1.0
-0.077 -2.603 4.657
-4.289 -3.841 -2.218
3.835 -3.265 -1.761
Cs In Bi Ta
1 1 1 2
Cartesian
-2.144 -1.920 -1.109 Cs
0.000 0.000 0.000 In
-0.266 -4.855 0.339 Bi
1.918 -1.633 -0.881 Ta
-0.039 -1.302 2.329 Ta
```

Properties
DOS(E_F) = 4.17 states/eV/cell
Size of the total moment = 3.19 Bohr magnetons per cell
Electronic total energy = -4.361 eV/atom
ΔE_f = 1.875 eV per atom
ρ = 7.74 g/cm³

---

# Pu2CrWN6

A geometry-optimized Pu2CrWN6 structure (GGA-PBE, the Alexandria database).

Cell and atoms, written as POSCAR:
```
Pu2CrWN6
1.0
4.681 0.000 0.000
0.000 5.262 0.000
0.000 0.000 5.262
Pu Cr W N
2 1 1 6
Cartesian
0.036 2.631 0.000 Pu
0.036 0.000 2.631 Pu
2.709 2.631 2.631 Cr
2.717 0.000 0.000 W
3.347 1.338 1.338 N
3.347 1.338 3.923 N
1.037 2.631 2.631 N
0.891 0.000 0.000 N
3.347 3.923 3.923 N
3.347 3.923 1.338 N
```

Properties
DOS(E_F) = 15.47 states/eV/cell
Size of the total moment = 9.88 Bohr magnetons per cell
Energy relative to the elements, uncorrected = -674 meV per atom
Electronic total energy = -10.793 eV/atom
ρ = 10.35 g/cm³

---

# TaMo6

A geometry-optimized TaMo6 structure (GGA-PBE, the Alexandria database).

Cell and atoms, written as POSCAR:
```
TaMo6
1.0
5.283 0.000 -0.012
3.361 4.076 -0.012
0.467 0.220 5.246
Mo Ta
6 1
Cartesian
9.098 4.291 5.219 Mo
6.241 2.943 0.748 Mo
3.845 1.813 1.510 Mo
1.428 0.673 2.223 Mo
7.676 3.620 2.961 Mo
5.285 2.492 3.736 Mo
2.870 1.353 4.490 Ta
```

Properties
DOS(E_F) = 3.37 states/eV/cell
Size of the total moment = 0.00 Bohr magnetons per cell
Electronic total energy = -11.064 eV/atom
ΔE_f = -0.087 eV per atom
ρ = 11.12 g/cm³

---

# La3HoPa2N6

A geometry-optimized La3HoPa2N6 structure (GGA-PBE, the Alexandria database).

Cell and atoms, written as POSCAR:
```
La3HoPa2N6
1.0
6.183 -0.002 0.001
-3.092 5.355 0.001
-1.030 -1.784 6.002
La Ho Pa N
3 1 2 6
Cartesian
-2.071 3.575 3.002 La
4.132 -0.007 3.002 La
1.030 1.784 3.002 La
0.000 0.000 0.000 Ho
-0.001 3.569 0.001 Pa
3.092 1.783 0.001 Pa
3.129 1.717 4.759 N
2.023 3.503 1.242 N
-1.068 1.851 1.244 N
-0.076 3.568 4.759 N
0.037 0.065 4.762 N
2.137 0.000 1.244 N
```

Properties
DOS(E_F) = 5.79 states/eV/cell
Size of the total moment = 0.00 Bohr magnetons per cell
Energy relative to the elements, uncorrected = -1583 meV per atom
Electronic total energy = -8.942 eV/atom
ρ = 9.43 g/cm³

---

# Ce3H3Se

A geometry-optimized Ce3H3Se structure (GGA-PBE, the Alexandria database).

Cell and atoms, written as POSCAR:
```
Ce3H3Se
1.0
6.858 0.000 0.000
3.429 5.939 0.000
3.429 1.980 6.624
Ce H Se
6 6 2
Cartesian
4.551 4.008 1.810 Ce
7.969 1.937 1.810 Ce
8.053 5.933 1.810 Ce
5.662 1.986 4.814 Ce
5.746 5.981 4.814 Ce
9.165 3.911 4.814 Ce
8.028 5.896 4.156 H
7.950 1.978 4.156 H
4.595 4.004 4.156 H
9.120 3.915 2.468 H
5.765 5.941 2.468 H
5.688 2.022 2.468 H
3.429 1.980 0.006 Se
10.287 5.939 6.617 Se
```

Properties
DOS(E_F) = 39.94 states/eV/cell
Size of the total moment = 6.14 Bohr magnetons per cell
Electronic total energy = -5.253 eV/atom
ρ = 6.18 g/cm³

---

# SiAsOs2O

A geometry-optimized SiAsOs2O structure (GGA-PBE, the Alexandria database).

Cell and atoms, written as POSCAR:
```
SiAsOs2O
1.0
4.557 0.000 0.000
0.000 4.875 0.000
0.000 0.000 4.557
As Os Si O
1 2 1 1
Cartesian
0.000 0.000 0.000 As
0.000 0.000 2.278 Os
2.278 0.000 0.000 Os
0.000 2.437 0.000 Si
2.278 2.437 2.278 O
```

Properties
DOS(E_F) = 4.17 states/eV/cell
Size of the total moment = 3.25 Bohr magnetons per cell
Energy relative to the elements, uncorrected = 2101 meV per atom
Electronic total energy = -5.397 eV/atom
ρ = 8.19 g/cm³

---

# YAl3Ag

A geometry-optimized YAl3Ag structure (GGA-PBE, the Alexandria database).

Cell and atoms, written as POSCAR:
```
YAl3Ag
1.0
5.512 0.000 0.000
0.000 5.512 0.000
0.000 0.000 5.512
Y Al Ag
1 3 1
Cartesian
0.000 0.000 0.000 Y
0.000 2.756 0.000 Al
0.000 0.000 2.756 Al
2.756 0.000 0.000 Al
2.756 2.756 2.756 Ag
```

Properties
DOS(E_F) = 3.74 states/eV/cell
Size of the total moment = 0.00 Bohr magnetons per cell
Electronic total energy = -2.890 eV/atom
ΔE_f = 1.219 eV per atom
ρ = 2.75 g/cm³